Entry from the Alexandria database: a relaxed structure of Tb3Hf (PBE).

Computed properties:
As for the spin magnetization: 0.000 μB/f.u. For the formation energy, the calculation gives 146 meV per atom. The space group is No. 221.

The structure in POSCAR format:
```
Tb3Hf
1.0
4.857 0.000 0.000
0.000 4.857 0.000
0.000 0.000 4.857
Tb Hf
3 1
Direct
0.000 0.500 0.500
0.500 0.500 0.000
0.500 0.000 0.500
0.000 0.000 0.000
```